Below is a PBEsol-optimized structure of Mg2TiBiPb, with properties calculated at the SCAN level.

abc: 5.241 5.241 6.262
angles: 90.00 90.00 90.00
Element x y z (fractional)
Mg (0.000, 0.500, 0.000)
Mg (0.500, 0.000, 0.000)
Ti (0.000, 0.000, 0.500)
Bi (0.500, 0.500, 0.000)
Pb (0.500, 0.500, 0.500)

Results
- symmetry = No. 123
- crystal system = tetragonal
- E (eV/cell) = -176.15
- energy of formation (eV/atom) = 0.84
- total moment (Bohr magnetons per cell) = 2.64